# 1
Ca2TlNiGe: optimized geometry, PBE.

a = 5.447 Å, b = 5.447 Å, c = 4.450 Å
α = 90.00°, β = 90.00°, γ = 90.00°
Element x y z (fractional)
Tl  0.500  0.500  0.500
Ge  0.000  0.000  0.500
Ca  0.500  0.000  0.000
Ca  0.000  0.500  0.000
Ni  0.000  0.000  0.000

# 2
BaLaMg2: optimized geometry, PBE.

a = 6.006 Å, b = 6.006 Å, c = 7.168 Å
α = 81.07°, β = 81.07°, γ = 35.91°
Element x y z (fractional)
Ba  0.750  0.750  0.750
Mg  0.995  0.995  0.052
Mg  0.505  0.505  0.448
La  0.250  0.250  0.250

Number 1: total DFT energy (no corrections) -3.6816 eV per atom, N(E_F) 0.37 states/eV per atom. Number 2: total DFT energy (no corrections) -2.3728 eV per atom, N(E_F) 1.12 states/eV per atom.